Below is a relaxed structure of DyTm3Th3, with properties calculated at the PBE-GGA level.

Space-group type = R-3, No. 148
DOS(E_F) = 19.58 states/eV/cell
DFT formation energy = 0.3182 eV per atom
Magnetic moment = 0.000 μB per formula unit

Geometry as POSCAR:
```
DyTm3Th3
1.0
7.7950 0.3670 3.8586
2.5489 7.3756 3.8586
0.4903 0.3670 8.6839
Th Tm Dy
6 6 2
direct
0.0637 0.2942 0.8043
0.9363 0.7058 0.1957
0.2942 0.8043 0.0637
0.8043 0.0637 0.2942
0.1957 0.9363 0.7058
0.7058 0.1957 0.9363
0.9411 0.2637 0.4361
0.0589 0.7363 0.5639
0.4361 0.9411 0.2637
0.5639 0.0589 0.7363
0.2637 0.4361 0.9411
0.7363 0.5639 0.0589
0.6443 0.6443 0.6443
0.3557 0.3557 0.3557
```